Record 1
Density functional theory data (meta-GGA SCAN) for a crystal of MnGaSb2S relaxed with PBEsol.

Lattice parameters (Å, degrees): 4.5645 4.7845 4.7845 90.00 90.00 90.00
With the nearest neighbours (Å) after each atom.
Sites, in units of the cell vectors:
Ga: 0.5000 0.0000 0.0000  2 Mn 2.28
Sb: 0.0000 0.5000 0.0000  2 Mn 2.39
Sb: 0.0000 0.0000 0.5000  2 Mn 2.39
S: 0.5000 0.5000 0.5000  8 Sb 3.31, 4 Ga 3.38
Mn: 0.0000 0.0000 0.0000  2 Ga 2.28, 4 Sb 2.39

Results
- Formation energy from raw total energies: 0.1733 eV per atom

***

Record 2
Density functional theory data (meta-GGA SCAN) for a crystal of BeHgH2 relaxed with PBEsol.

Lattice parameters (Å, degrees): 3.7891 3.7891 3.7891 60.00 60.00 60.00
With the nearest neighbours (Å) after each atom.
Sites, in units of the cell vectors:
Be: 0.0000 0.0000 0.0000  8 H 2.32
Hg: 0.5000 0.5000 0.5000  8 H 2.32
H: 0.7500 0.7500 0.7500  4 Be 2.32, 4 Hg 2.32
H: 0.2500 0.2500 0.2500  4 Hg 2.32, 4 Be 2.32

Results
- Total DFT energy (no corrections): -18.812 eV/atom

***

Record 3
Density functional theory data (meta-GGA SCAN) for a crystal of Y2AgO2 relaxed with PBEsol.

Lattice parameters (Å, degrees): 3.8713 3.8713 6.4984 107.33 107.33 90.00
With the nearest neighbours (Å) after each atom.
Sites, in units of the cell vectors:
O: 0.2500 0.7500 0.5000  4 Y 2.21
O: 0.7500 0.2500 0.5000  4 Y 2.21
Y: 0.6588 0.6588 0.3176  4 O 2.21
Y: 0.3412 0.3412 0.6824  4 O 2.21
Ag: 0.0000 0.0000 0.0000  8 Y 3.32, 8 O 3.53

Results
- Formation energy from raw total energies: -2.7128 eV per atom

***

Record 4
Density functional theory data (meta-GGA SCAN) for a crystal of TePtN2 relaxed with PBEsol.

Lattice parameters (Å, degrees): 3.2559 3.2559 6.5079 75.51 75.51 60.00
With the nearest neighbours (Å) after each atom.
Sites, in units of the cell vectors:
N: 0.1046 0.1046 0.6863  1 Pt 1.95
N: 0.8954 0.8954 0.3137  1 Pt 1.95
Pt: 0.0000 0.0000 0.0000  2 N 1.95
Te: 0.5000 0.5000 0.5000  6 N 2.21

Results
- Formation energy from raw total energies: 0.9365 eV per atom